[1]
# PmUGePd

A geometry-optimized PmUGePd structure (PBE-GGA, Alexandria via LeMat-Bulk).

Results
E, eV per atom: -6.75
Symmetry: F-43m (216)
Energy of formation from the pure elements, eV per atom: -0.290
Total moment, μB per formula unit: 3.22

Cell lengths 5.0759, 5.0759, 5.0759 Å; angles 60.00, 60.00, 60.00 degrees
Last column: nearest neighbours and their distance in Å.
Fractional positions:
Ge 0.0000 0.0000 0.0000  4 U 3.11, 4 Pm 3.11
U 0.7500 0.7500 0.7500  4 Ge 3.11, 4 Pd 3.11
Pd 0.5000 0.5000 0.5000  4 U 3.11, 4 Pm 3.11
Pm 0.2500 0.2500 0.2500  4 Ge 3.11, 4 Pd 3.11

---

[2]
# BaLiTl2

A geometry-optimized BaLiTl2 structure (PBE-GGA, Alexandria via LeMat-Bulk).

Results
E, eV per atom: -2.32
Symmetry: Cmmm (65)
Energy of formation from the pure elements, eV per atom: -0.178
Total moment, μB per formula unit: 0.00

Cell lengths 9.0261, 5.6505, 4.1653 Å; angles 89.97, 62.56, 128.96 degrees
Last column: nearest neighbours and their distance in Å.
Fractional positions:
Ba 0.0000 0.5000 0.5000  8 Tl 3.51
Li 0.5000 0.5000 0.0000  8 Tl 3.51
Tl 0.0000 0.0000 0.0000  4 Li 3.51, 4 Ba 3.51
Tl 0.5000 0.0000 0.5000  4 Ba 3.51, 4 Li 3.51